12
Lattice="3.8014 0.0000 0.0000 0.0000 6.1225 0.0000 0.0000 0.0000 9.3093" Properties=species:S:1:pos:R:3 comment="ZnGaSi (PBE, optimized geometry)" rho_g_cm3=5.00 e_form_raw_ev_per_atom=0.197 magmom_total_mub_per_cell=0.000 dos_at_fermi_per_ev_atom=0.19 pbc="T T T"
Zn 0.9503 1.8419 5.8508
Zn 0.9503 1.2194 1.1961
Zn 2.8510 4.9031 8.1132
Zn 2.8510 4.2806 3.4586
Si 2.8510 3.5760 5.9635
Si 0.9503 2.5465 3.3458
Si 0.9503 0.5148 8.0005
Si 2.8510 5.6077 1.3088
Ga 0.9503 5.2943 5.6498
Ga 0.9503 3.8894 0.9951
Ga 2.8510 2.2331 8.3142
Ga 2.8510 0.8282 3.6595

5
Lattice="3.5564 0.0000 0.0000 0.0000 3.5564 0.0000 1.7782 1.7782 6.7265" Properties=species:S:1:pos:R:3 comment="Zn2GaSi2 (PBE, optimized geometry)" de_polymorph_mev_per_atom=48.8 rho_g_cm3=5.01 e_form_raw_ev_per_atom=0.251 magmom_total_mub_per_cell=0.000 dos_at_fermi_per_ev_atom=0.36 pbc="T T T"
Zn 1.7782 1.7782 1.3236
Zn 3.5564 3.5564 5.4029
Si 3.5564 1.7782 3.3633
Si 1.7782 3.5564 3.3633
Ga 0.0000 0.0000 0.0000

8
Lattice="7.6510 0.0000 0.0000 0.0000 7.6510 0.0000 3.8255 3.8255 2.5503" Properties=species:S:1:pos:R:3 comment="ZnGa2Si (PBE, optimized geometry)" de_polymorph_mev_per_atom=30.2 rho_g_cm3=5.18 e_form_raw_ev_per_atom=0.186 magmom_total_mub_per_cell=0.000 dos_at_fermi_per_ev_atom=0.41 pbc="T T T"
Ga 2.2824 5.7383 0.6376
Ga 5.7383 6.1079 1.9127
Ga 5.3686 1.9128 0.6376
Ga 9.5638 9.1941 1.9127
Si 3.8255 7.6510 1.2751
Si 3.8255 3.8255 0.0000
Zn 0.0000 0.0000 0.0000
Zn 7.6510 3.8255 1.2751